{"formula": "Ti2CuGeBr", "functional": "PBE-GGA", "state": "optimized geometry", "density_g_cm3": 5.25, "m_tot_mub_per_fu": 0.00, "formation_energy_uncorrected_ev_per_atom": 0.645, "n_ef_per_ev_atom": 0.937, "lattice_angstrom": [[4.709, 0.000, 0.000], [0.000, 4.709, 0.000], [0.000, 0.000, 4.451]], "species": ["Ti", "Ti", "Cu", "Ge", "Br"], "frac_coords": [[0.000, 0.500, 0.000], [0.500, 0.000, 0.000], [0.000, 0.000, 0.500], [0.500, 0.500, 0.500], [0.000, 0.000, 0.000]]}



{"formula": "Rb4AgBi", "functional": "PBE-GGA", "state": "optimized geometry", "density_g_cm3": 3.34, "m_tot_mub_per_fu": 0.00, "n_ef_per_ev_atom": 0.112, "total_energy_ev_per_atom": -1.94, "lattice_angstrom": [[5.729, -8.347, 0.000], [5.729, 8.347, 0.000], [-4.145, 0.000, 6.842]], "species": ["Rb", "Rb", "Rb", "Rb", "Rb", "Rb", "Rb", "Rb", "Ag", "Ag", "Bi", "Bi"], "frac_coords": [[0.049, 0.692, 0.922], [0.258, 0.366, 0.739], [0.308, 0.951, 0.578], [0.366, 0.258, 0.239], [0.634, 0.742, 0.761], [0.692, 0.049, 0.422], [0.742, 0.634, 0.261], [0.951, 0.308, 0.078], [0.011, 0.989, 0.750], [0.989, 0.011, 0.250], [0.361, 0.639, 0.250], [0.639, 0.361, 0.750]]}



{"formula": "Pm8Sm2Pb", "functional": "PBE-GGA", "state": "optimized geometry", "density_g_cm3": 7.59, "m_tot_mub_per_fu": 0.00, "n_ef_per_ev_atom": 1.347, "total_energy_ev_per_atom": -4.73, "lattice_angstrom": [[9.247, -2.519, 0.000], [9.247, 2.519, 0.000], [-2.142, 0.000, 7.833]], "species": ["Pm", "Pm", "Pm", "Pm", "Pm", "Pm", "Pm", "Pm", "Sm", "Sm", "Pb"], "frac_coords": [[0.044, 0.044, 0.228], [0.137, 0.137, 0.679], [0.321, 0.321, 0.593], [0.410, 0.410, 0.059], [0.590, 0.590, 0.941], [0.679, 0.679, 0.407], [0.863, 0.863, 0.321], [0.956, 0.956, 0.772], [0.223, 0.223, 0.134], [0.777, 0.777, 0.866], [0.500, 0.500, 0.500]]}



{"formula": "NbFeSn2Br", "functional": "PBE-GGA", "state": "optimized geometry", "density_g_cm3": 5.47, "m_tot_mub_per_fu": 2.29, "formation_energy_uncorrected_ev_per_atom": 0.678, "n_ef_per_ev_atom": 0.845, "lattice_angstrom": [[5.569, 0.000, 0.000], [0.000, 5.569, 0.000], [0.000, 0.000, 4.560]], "species": ["Nb", "Fe", "Sn", "Sn", "Br"], "frac_coords": [[0.000, 0.000, 0.000], [0.000, 0.000, 0.500], [0.000, 0.500, 0.000], [0.500, 0.000, 0.000], [0.500, 0.500, 0.500]]}



{"formula": "P2AuBr", "functional": "PBE-GGA", "state": "optimized geometry", "density_g_cm3": 7.70, "m_tot_mub_per_fu": 0.00, "formation_energy_uncorrected_ev_per_atom": 0.904, "n_ef_per_ev_atom": 0.757, "lattice_angstrom": [[6.635, 0.000, 0.000], [0.000, 6.635, 0.000], [0.000, 0.000, 6.635]], "species": ["P", "P", "P", "P", "P", "P", "P", "P", "Au", "Au", "Au", "Au", "Br", "Br", "Br", "Br"], "frac_coords": [[0.250, 0.250, 0.250], [0.250, 0.250, 0.750], [0.250, 0.750, 0.250], [0.250, 0.750, 0.750], [0.750, 0.250, 0.250], [0.750, 0.250, 0.750], [0.750, 0.750, 0.250], [0.750, 0.750, 0.750], [0.000, 0.000, 0.000], [0.000, 0.500, 0.500], [0.500, 0.000, 0.500], [0.500, 0.500, 0.000], [0.000, 0.000, 0.500], [0.000, 0.500, 0.000], [0.500, 0.000, 0.000], [0.500, 0.500, 0.500]]}



{"formula": "EuIn2Ni", "functional": "PBE-GGA", "state": "optimized geometry", "density_g_cm3": 7.36, "m_tot_mub_per_fu": 7.45, "n_ef_per_ev_atom": 2.347, "total_energy_ev_per_atom": -5.62, "lattice_angstrom": [[4.459, 0.000, 0.000], [-2.230, 3.862, 0.000], [0.000, 0.000, 17.296]], "species": ["Eu", "Eu", "Eu", "In", "In", "In", "In", "In", "In", "Ni", "Ni", "Ni"], "frac_coords": [[0.000, 0.000, 0.000], [0.333, 0.667, 0.667], [0.667, 0.333, 0.333], [0.000, 0.000, 0.212], [0.000, 0.000, 0.788], [0.333, 0.667, 0.454], [0.333, 0.667, 0.879], [0.667, 0.333, 0.121], [0.667, 0.333, 0.546], [0.000, 0.000, 0.500], [0.333, 0.667, 0.167], [0.667, 0.333, 0.833]]}



{"formula": "LaZn6Pt2", "functional": "PBE-GGA", "state": "optimized geometry", "density_g_cm3": 9.46, "m_tot_mub_per_fu": 0.00, "n_ef_per_ev_atom": 0.425, "total_energy_ev_per_atom": -3.08, "lattice_angstrom": [[6.383, -3.060, 0.000], [6.383, 3.060, 0.000], [-1.454, 0.000, 4.142]], "species": ["La", "Zn", "Zn", "Zn", "Zn", "Zn", "Zn", "Pt", "Pt"], "frac_coords": [[0.000, 0.000, 0.000], [0.041, 0.561, 0.299], [0.310, 0.690, 0.500], [0.439, 0.959, 0.701], [0.561, 0.041, 0.299], [0.690, 0.310, 0.500], [0.959, 0.439, 0.701], [0.380, 0.380, 0.875], [0.620, 0.620, 0.125]]}



{"formula": "CuRe3H", "functional": "PBE-GGA", "state": "optimized geometry", "density_g_cm3": 11.69, "m_tot_mub_per_fu": 0.00, "n_ef_per_ev_atom": 1.815, "total_energy_ev_per_atom": -6.05, "lattice_angstrom": [[4.457, 0.000, 0.000], [0.000, 4.457, 0.000], [0.000, 0.000, 4.457]], "species": ["Cu", "Re", "Re", "Re", "H"], "frac_coords": [[0.000, 0.000, 0.000], [0.000, 0.000, 0.500], [0.000, 0.500, 0.000], [0.500, 0.000, 0.000], [0.500, 0.500, 0.500]]}



{"formula": "Ca2BiTeSe", "functional": "PBE-GGA", "state": "optimized geometry", "density_g_cm3": 4.71, "m_tot_mub_per_fu": 0.00, "formation_energy_uncorrected_ev_per_atom": -0.655, "n_ef_per_ev_atom": 0.804, "lattice_angstrom": [[5.602, 0.000, 0.000], [0.000, 5.602, 0.000], [0.000, 0.000, 5.573]], "species": ["Ca", "Ca", "Bi", "Te", "Se"], "frac_coords": [[0.000, 0.500, 0.000], [0.500, 0.000, 0.000], [0.000, 0.000, 0.500], [0.500, 0.500, 0.500], [0.000, 0.000, 0.000]]}



{"formula": "CaHoSn6", "functional": "PBE-GGA", "state": "optimized geometry", "density_g_cm3": 7.17, "m_tot_mub_per_fu": 0.00, "n_ef_per_ev_atom": 0.345, "total_energy_ev_per_atom": -4.23, "lattice_angstrom": [[4.705, 0.000, 0.000], [0.000, 4.705, 0.000], [0.000, 0.000, 9.590]], "species": ["Ca", "Ho", "Sn", "Sn", "Sn", "Sn", "Sn", "Sn"], "frac_coords": [[0.000, 0.000, 0.000], [0.000, 0.000, 0.500], [0.000, 0.500, 0.253], [0.000, 0.500, 0.747], [0.500, 0.000, 0.253], [0.500, 0.000, 0.747], [0.500, 0.500, 0.000], [0.500, 0.500, 0.500]]}



{"formula": "Ac2TbCd", "functional": "PBE-GGA", "state": "optimized geometry", "density_g_cm3": 7.56, "m_tot_mub_per_fu": 0.00, "n_ef_per_ev_atom": 1.266, "total_energy_ev_per_atom": -3.25, "lattice_angstrom": [[3.775, 0.000, 0.000], [-1.887, 3.269, 0.000], [0.000, 0.000, 38.761]], "species": ["Ac", "Ac", "Ac", "Ac", "Ac", "Ac", "Tb", "Tb", "Tb", "Cd", "Cd", "Cd"], "frac_coords": [[0.000, 0.000, 0.090], [0.000, 0.000, 0.910], [0.333, 0.667, 0.577], [0.333, 0.667, 0.756], [0.667, 0.333, 0.244], [0.667, 0.333, 0.423], [0.000, 0.000, 0.500], [0.333, 0.667, 0.167], [0.667, 0.333, 0.833], [0.000, 0.000, 0.000], [0.333, 0.667, 0.667], [0.667, 0.333, 0.333]]}



{"formula": "Li3Pt", "functional": "PBE-GGA", "state": "optimized geometry", "density_g_cm3": 6.09, "m_tot_mub_per_fu": 0.00, "n_ef_per_ev_atom": 0.232, "total_energy_ev_per_atom": -3.34, "lattice_angstrom": [[2.772, 0.000, 0.000], [0.000, 4.026, 0.000], [-0.691, 0.000, 5.277]], "species": ["Li", "Li", "Li", "Pt"], "frac_coords": [[0.000, 0.000, 0.000], [0.484, 0.500, 0.280], [0.516, 0.500, 0.720], [0.000, 0.000, 0.500]]}



{"formula": "CeRe4", "functional": "PBE-GGA", "state": "optimized geometry", "density_g_cm3": 14.53, "m_tot_mub_per_fu": 1.36, "n_ef_per_ev_atom": 0.963, "total_energy_ev_per_atom": -8.30, "lattice_angstrom": [[4.659, 0.000, 0.000], [0.000, 4.659, 0.000], [0.000, 0.000, 4.659]], "species": ["Ce", "Re", "Re", "Re", "Re"], "frac_coords": [[0.000, 0.000, 0.000], [0.000, 0.000, 0.500], [0.000, 0.500, 0.000], [0.500, 0.000, 0.000], [0.500, 0.500, 0.500]]}



{"formula": "CaPr6In5", "functional": "PBE-GGA", "state": "optimized geometry", "density_g_cm3": 6.59, "m_tot_mub_per_fu": 0.00, "n_ef_per_ev_atom": 0.807, "total_energy_ev_per_atom": -4.10, "lattice_angstrom": [[-2.780, 3.932, 8.416], [2.780, -3.932, 8.416], [2.780, 3.932, -8.416]], "species": ["Ca", "Pr", "Pr", "Pr", "Pr", "Pr", "Pr", "In", "In", "In", "In", "In"], "frac_coords": [[0.000, 0.000, 0.000], [0.082, 0.826, 0.257], [0.269, 0.500, 0.769], [0.431, 0.174, 0.257], [0.569, 0.826, 0.743], [0.731, 0.500, 0.231], [0.918, 0.174, 0.743], [0.151, 0.651, 0.500], [0.333, 0.333, 0.000], [0.500, 0.000, 0.500], [0.667, 0.667, 0.000], [0.849, 0.349, 0.500]]}



{"formula": "CaAlSi2Pd", "functional": "PBE-GGA", "state": "optimized geometry", "density_g_cm3": 4.28, "m_tot_mub_per_fu": 0.00, "formation_energy_uncorrected_ev_per_atom": -0.622, "n_ef_per_ev_atom": 0.212, "lattice_angstrom": [[4.105, 0.000, 0.000], [0.000, 4.105, 0.000], [0.000, 0.000, 10.565]], "species": ["Ca", "Ca", "Al", "Al", "Si", "Si", "Si", "Si", "Pd", "Pd"], "frac_coords": [[0.000, 0.000, 0.000], [0.500, 0.500, 0.500], [0.000, 0.500, 0.250], [0.500, 0.000, 0.750], [0.000, 0.000, 0.389], [0.000, 0.000, 0.611], [0.500, 0.500, 0.111], [0.500, 0.500, 0.889], [0.000, 0.500, 0.750], [0.500, 0.000, 0.250]]}



{"formula": "AcTlPd", "functional": "PBE-GGA", "state": "optimized geometry", "density_g_cm3": 10.90, "m_tot_mub_per_fu": 0.00, "n_ef_per_ev_atom": 0.613, "total_energy_ev_per_atom": -4.30, "lattice_angstrom": [[3.843, 0.000, 0.000], [0.000, 3.843, 0.000], [0.000, 0.000, 11.090]], "species": ["Ac", "Ac", "Tl", "Tl", "Pd", "Pd"], "frac_coords": [[0.000, 0.000, 0.000], [0.500, 0.500, 0.500], [0.000, 0.000, 0.297], [0.500, 0.500, 0.797], [0.000, 0.000, 0.663], [0.500, 0.500, 0.163]]}



{"formula": "AlCdRe2", "functional": "PBE-GGA", "state": "optimized geometry", "density_g_cm3": 12.20, "m_tot_mub_per_fu": 0.00, "n_ef_per_ev_atom": 1.018, "total_energy_ev_per_atom": -6.43, "lattice_angstrom": [[7.330, 0.000, 0.000], [0.000, 7.330, 0.000], [0.000, 0.000, 5.188]], "species": ["Al", "Al", "Al", "Al", "Cd", "Cd", "Cd", "Cd", "Re", "Re", "Re", "Re", "Re", "Re", "Re", "Re"], "frac_coords": [[0.000, 0.000, 0.000], [0.000, 0.500, 0.250], [0.500, 0.000, 0.750], [0.500, 0.500, 0.500], [0.000, 0.000, 0.500], [0.000, 0.500, 0.750], [0.500, 0.000, 0.250], [0.500, 0.500, 0.000], [0.216, 0.250, 0.125], [0.250, 0.716, 0.375], [0.250, 0.784, 0.875], [0.284, 0.250, 0.625], [0.716, 0.750, 0.625], [0.750, 0.216, 0.875], [0.750, 0.284, 0.375], [0.784, 0.750, 0.125]]}



{"formula": "La3InO", "functional": "PBE-GGA", "state": "optimized geometry", "density_g_cm3": 6.82, "m_tot_mub_per_fu": 0.00, "formation_energy_uncorrected_ev_per_atom": -1.338, "n_ef_per_ev_atom": 0.976, "lattice_angstrom": [[3.747, -4.956, 0.000], [3.747, 4.956, 0.000], [0.000, 0.000, 7.178]], "species": ["La", "La", "La", "La", "La", "La", "In", "In", "O", "O"], "frac_coords": [[0.249, 0.751, 0.250], [0.249, 0.751, 0.750], [0.252, 0.252, 0.000], [0.748, 0.748, 0.000], [0.751, 0.249, 0.250], [0.751, 0.249, 0.750], [0.252, 0.252, 0.500], [0.748, 0.748, 0.500], [0.000, 0.500, 0.000], [0.500, 0.000, 0.000]]}



{"formula": "Sc5Tl2ZnPd2", "functional": "PBE-GGA", "state": "optimized geometry", "density_g_cm3": 7.05, "m_tot_mub_per_fu": 0.00, "n_ef_per_ev_atom": 0.811, "total_energy_ev_per_atom": -5.25, "lattice_angstrom": [[11.311, 0.000, 0.000], [0.000, 11.311, 0.000], [0.000, 0.000, 3.358]], "species": ["Sc", "Sc", "Sc", "Sc", "Sc", "Sc", "Sc", "Sc", "Sc", "Sc", "Tl", "Tl", "Tl", "Tl", "Zn", "Zn", "Pd", "Pd", "Pd", "Pd"], "frac_coords": [[0.000, 0.500, 0.000], [0.070, 0.193, 0.000], [0.193, 0.930, 0.000], [0.307, 0.430, 0.000], [0.430, 0.693, 0.000], [0.500, 0.000, 0.000], [0.570, 0.307, 0.000], [0.693, 0.570, 0.000], [0.807, 0.070, 0.000], [0.930, 0.807, 0.000], [0.172, 0.672, 0.500], [0.328, 0.172, 0.500], [0.672, 0.828, 0.500], [0.828, 0.328, 0.500], [0.000, 0.000, 0.500], [0.500, 0.500, 0.500], [0.132, 0.368, 0.500], [0.368, 0.868, 0.500], [0.632, 0.132, 0.500], [0.868, 0.632, 0.500]]}



{"formula": "Hg2SbAu", "functional": "PBE-GGA", "state": "optimized geometry", "density_g_cm3": 11.05, "m_tot_mub_per_fu": 0.00, "formation_energy_uncorrected_ev_per_atom": 0.007, "n_ef_per_ev_atom": 0.248, "lattice_angstrom": [[4.033, 0.000, 0.000], [0.000, 4.033, 0.000], [-0.004, 0.000, 13.304]], "species": ["Hg", "Hg", "Hg", "Hg", "Sb", "Sb", "Au", "Au"], "frac_coords": [[0.247, 0.000, 0.178], [0.252, 0.000, 0.931], [0.748, 0.500, 0.069], [0.753, 0.500, 0.822], [0.251, 0.997, 0.597], [0.749, 0.497, 0.403], [0.249, 0.997, 0.389], [0.751, 0.497, 0.611]]}



{"formula": "RbHf3B", "functional": "PBE-GGA", "state": "optimized geometry", "density_g_cm3": 9.27, "m_tot_mub_per_fu": 0.00, "n_ef_per_ev_atom": 1.619, "total_energy_ev_per_atom": -6.71, "lattice_angstrom": [[4.838, 0.000, 0.000], [0.000, 4.838, 0.000], [0.000, 0.000, 4.838]], "species": ["Rb", "Hf", "Hf", "Hf", "B"], "frac_coords": [[0.000, 0.000, 0.000], [0.000, 0.500, 0.500], [0.500, 0.000, 0.500], [0.500, 0.500, 0.000], [0.500, 0.500, 0.500]]}



{"formula": "Ca2FeTc", "functional": "PBE-GGA", "state": "optimized geometry", "density_g_cm3": 4.84, "m_tot_mub_per_fu": 1.45, "n_ef_per_ev_atom": 1.021, "total_energy_ev_per_atom": -4.95, "lattice_angstrom": [[2.921, 0.000, 0.000], [0.000, 2.921, 0.000], [0.000, 0.000, 9.415]], "species": ["Ca", "Ca", "Fe", "Tc"], "frac_coords": [[0.000, 0.000, 0.245], [0.000, 0.000, 0.755], [0.500, 0.500, 0.000], [0.500, 0.500, 0.500]]}



{"formula": "Ac6BiP3Se2", "functional": "PBE-GGA", "state": "optimized geometry", "density_g_cm3": 7.67, "m_tot_mub_per_fu": 0.00, "formation_energy_uncorrected_ev_per_atom": -1.563, "n_ef_per_ev_atom": 0.346, "lattice_angstrom": [[9.911, -2.254, 0.000], [9.911, 2.254, 0.000], [-2.238, 0.000, 8.824]], "species": ["Ac", "Ac", "Ac", "Ac", "Ac", "Ac", "Bi", "P", "P", "P", "Se", "Se"], "frac_coords": [[0.003, 0.003, 0.233], [0.327, 0.327, 0.425], [0.337, 0.337, 0.908], [0.663, 0.663, 0.092], [0.673, 0.673, 0.575], [0.997, 0.997, 0.767], [0.500, 0.500, 0.500], [0.167, 0.167, 0.330], [0.500, 0.500, 0.000], [0.833, 0.833, 0.670], [0.169, 0.169, 0.836], [0.831, 0.831, 0.164]]}



{"formula": "Ta2TcSe", "functional": "PBE-GGA", "state": "optimized geometry", "density_g_cm3": 13.25, "m_tot_mub_per_fu": 0.00, "formation_energy_uncorrected_ev_per_atom": -0.014, "n_ef_per_ev_atom": 0.679, "lattice_angstrom": [[9.621, 0.000, 0.000], [0.000, 3.172, 0.000], [-1.232, 0.000, 4.425]], "species": ["Ta", "Ta", "Ta", "Ta", "Tc", "Tc", "Se", "Se"], "frac_coords": [[0.000, 0.000, 0.000], [0.223, 0.000, 0.648], [0.500, 0.500, 0.000], [0.723, 0.500, 0.648], [0.490, 0.000, 0.502], [0.990, 0.500, 0.502], [0.250, 0.500, 0.162], [0.750, 0.000, 0.162]]}



{"formula": "MnReS2", "functional": "PBE-GGA", "state": "optimized geometry", "density_g_cm3": 7.58, "m_tot_mub_per_fu": 0.72, "formation_energy_uncorrected_ev_per_atom": 0.029, "n_ef_per_ev_atom": 1.128, "lattice_angstrom": [[5.152, 0.000, 0.000], [0.000, 5.152, 0.000], [0.000, 0.000, 10.073]], "species": ["Mn", "Mn", "Mn", "Mn", "Re", "Re", "Re", "Re", "S", "S", "S", "S", "S", "S", "S", "S"], "frac_coords": [[0.000, 0.000, 0.000], [0.000, 0.500, 0.250], [0.500, 0.000, 0.750], [0.500, 0.500, 0.500], [0.000, 0.000, 0.500], [0.000, 0.500, 0.750], [0.500, 0.000, 0.250], [0.500, 0.500, 0.000], [0.232, 0.250, 0.125], [0.250, 0.732, 0.375], [0.250, 0.768, 0.875], [0.268, 0.250, 0.625], [0.732, 0.750, 0.625], [0.750, 0.232, 0.875], [0.750, 0.268, 0.375], [0.768, 0.750, 0.125]]}



{"formula": "KNa3Li", "functional": "PBE-GGA", "state": "optimized geometry", "density_g_cm3": 0.88, "m_tot_mub_per_fu": 0.00, "n_ef_per_ev_atom": 0.411, "total_energy_ev_per_atom": -1.28, "lattice_angstrom": [[6.007, 0.000, 0.000], [0.000, 6.007, 0.000], [0.000, 0.000, 6.007]], "species": ["K", "Na", "Na", "Na", "Li"], "frac_coords": [[0.000, 0.000, 0.000], [0.000, 0.500, 0.500], [0.500, 0.000, 0.500], [0.500, 0.500, 0.000], [0.500, 0.500, 0.500]]}